(1)
Ba2NaBi2 (PBE, optimized geometry); N(E_F) = 1.19 states/eV/f.u.; energy relative to the lowest polymorph listed for this composition = 73 kJ/mol of formula units
1.0
10.308 0.000 0.000
0.000 10.308 0.000
0.000 0.000 3.965
Bi Na Ba
4 2 4
Direct
0.332 0.168 0.500
0.668 0.832 0.500
0.168 0.668 0.500
0.832 0.332 0.500
0.500 0.500 0.000
0.000 0.000 0.000
0.368 0.868 0.000
0.868 0.632 0.000
0.132 0.368 0.000
0.632 0.132 0.000

---

(2)
Ba2NaBi (PBE, optimized geometry); N(E_F) = 2.10 states/eV/f.u.; DFT total energy = -20.58 eV per cell
1.0
-1.285 9.434 -2.583
-8.838 -2.236 -3.769
-6.850 4.377 0.555
Ba Bi Na
4 2 2
Direct
0.375 0.337 0.750
0.875 0.913 0.750
0.663 0.125 0.250
0.087 0.625 0.250
0.750 0.250 0.500
0.000 0.000 0.000
0.500 0.500 0.000
0.250 0.750 0.500

---

(3)
Ba2NaBi2 (PBE, optimized geometry); N(E_F) = 1.87 states/eV/f.u.; energy relative to the lowest polymorph listed for this composition = 40 kJ/mol of formula units
1.0
-3.826 -2.055 -9.027
-6.742 -6.075 4.241
-2.683 3.254 0.396
Na Ba Bi
2 4 4
Direct
0.000 0.000 0.000
0.500 0.500 0.000
0.364 0.136 0.500
0.864 0.364 0.500
0.636 0.864 0.500
0.136 0.636 0.500
0.666 0.166 0.000
0.166 0.334 0.000
0.334 0.834 0.000
0.834 0.666 0.000

---

(4)
Ba2NaBi5 (PBE, optimized geometry); N(E_F) = 5.93 states/eV/f.u.; DFT total energy = -28.49 eV per cell
1.0
6.616 -0.003 -3.621
-1.982 6.312 -3.621
-0.300 -0.408 7.314
Bi Na Ba
5 1 2
Direct
0.233 0.698 0.930
0.698 0.233 0.930
0.233 0.233 0.931
0.796 0.796 0.591
0.698 0.698 0.930
0.183 0.183 0.365
0.219 0.719 0.438
0.719 0.219 0.438

---

(5)
Ba3Na4Bi4 (PBE, optimized geometry); N(E_F) = 3.67 states/eV/f.u.; DFT total energy = -33.90 eV per cell
1.0
-2.139 4.599 -1.616
-3.765 -3.996 -6.386
-4.090 -1.791 9.085
Ba Na Bi
3 4 4
Direct
0.000 0.500 0.000
0.126 0.126 0.253
0.874 0.874 0.747
0.675 0.872 0.350
0.325 0.522 0.650
0.325 0.128 0.650
0.675 0.478 0.350
0.500 0.815 0.000
0.788 0.288 0.576
0.500 0.185 0.000
0.212 0.712 0.424

---

(6)
Ba2NaBi (PBE, optimized geometry); N(E_F) = 1.15 states/eV/f.u.; DFT total energy = -11.16 eV per cell
1.0
4.828 0.000 0.000
0.000 5.898 0.000
0.000 0.000 5.898
Ba Bi Na
2 1 1
Direct
0.000 0.500 0.000
0.000 0.000 0.500
0.500 0.500 0.500
0.500 0.000 0.000

---

(7)
BaNa12Bi6 (PBE, optimized geometry); N(E_F) = 7.56 states/eV/f.u.; DFT total energy = -46.21 eV per cell
1.0
-4.350 5.311 5.628
5.826 -2.638 6.156
5.251 6.527 -2.937
Ba Bi Na
1 6 12
Direct
0.000 0.000 0.000
0.806 0.305 0.806
0.806 0.806 0.305
0.194 0.695 0.194
0.695 0.194 0.194
0.305 0.806 0.806
0.194 0.194 0.695
0.200 0.489 0.489
0.489 0.200 0.489
0.124 0.876 0.500
0.500 0.876 0.124
0.876 0.500 0.124
0.511 0.800 0.511
0.124 0.500 0.876
0.500 0.124 0.876
0.511 0.511 0.800
0.876 0.124 0.500
0.800 0.511 0.511
0.489 0.489 0.200

---

(8)
Ba2Na2Bi (PBE, optimized geometry); N(E_F) = 5.78 states/eV/f.u.; energy relative to the lowest polymorph listed for this composition = 92 kJ/mol of formula units
1.0
-3.402 8.551 -0.797
-4.933 -1.244 7.710
4.737 2.200 3.386
Na Ba Bi
4 4 2
Direct
0.641 0.859 0.500
0.859 0.359 0.500
0.141 0.641 0.500
0.359 0.141 0.500
0.334 0.834 0.000
0.834 0.666 0.000
0.166 0.334 0.000
0.666 0.166 0.000
0.000 0.000 0.000
0.500 0.500 0.000

---

(9)
Ba2NaBiO (PBE, optimized geometry); N(E_F) = 0.11 states/eV/f.u.; uncorrected formation energy = -1.426 eV/atom
1.0
5.500 0.000 0.000
0.000 5.500 0.000
0.000 0.000 5.016
Bi Na Ba O
1 1 2 1
Direct
0.500 0.500 0.500
0.000 0.000 0.500
0.500 0.000 0.000
0.000 0.500 0.000
0.000 0.000 0.000

---

(10)
BaNa2BiO4 (PBE, optimized geometry); N(E_F) = 3.44 states/eV/f.u.; uncorrected formation energy = -1.525 eV/atom
1.0
7.399 -0.289 -0.070
-0.294 7.399 -0.070
-3.572 -3.575 5.099
Bi O Ba Na
2 8 2 4
Direct
0.000 0.000 0.000
0.500 0.500 0.500
0.691 0.281 0.486
0.248 0.252 0.024
0.781 0.191 0.986
0.248 0.252 0.476
0.752 0.748 0.524
0.752 0.748 0.976
0.309 0.719 0.514
0.219 0.809 0.014
0.000 0.500 0.000
0.000 0.500 0.500
0.500 0.500 0.000
0.000 0.000 0.500
0.500 0.000 0.500
0.500 0.000 0.000

---

(11)
Ba3NaBiO6 (PBE, optimized geometry); uncorrected formation energy = -1.595 eV/atom
1.0
-8.947 4.791 1.297
2.680 -4.435 -8.823
-3.341 -5.650 1.313
Ba O Bi Na
6 12 2 2
Direct
0.289 0.711 0.250
0.170 0.442 0.741
0.711 0.289 0.750
0.442 0.170 0.241
0.830 0.558 0.259
0.558 0.830 0.759
0.991 0.442 0.429
0.139 0.177 0.718
0.406 0.632 0.507
0.442 0.991 0.929
0.368 0.594 0.993
0.632 0.406 0.007
0.009 0.558 0.571
0.177 0.139 0.218
0.558 0.009 0.071
0.861 0.823 0.282
0.823 0.861 0.782
0.594 0.368 0.493
0.000 0.000 0.500
0.000 0.000 0.000
0.526 0.474 0.750
0.474 0.526 0.250

---

(12)
Ba2NaBiO4 (PBE, optimized geometry); uncorrected formation energy = -1.833 eV/atom
1.0
3.816 0.000 0.000
0.000 6.449 0.185
0.000 -2.188 5.984
Ba O Na Bi
2 4 1 1
Direct
0.500 0.000 0.500
0.000 0.500 0.500
0.000 0.232 0.766
0.500 0.237 0.225
0.500 0.763 0.775
0.000 0.768 0.234
0.500 0.500 0.000
0.000 0.000 0.000

---

Which formula does entry 3 have? Ba2NaBi2